First-principles (PBE) data for crystalline Sm4Ag2Os at its relaxed geometry, as listed in Alexandria via LeMat-Bulk.

Properties
**Fermi-level density of states**: 6.68 states/eV/f.u.
**SG**: R-3m (166)
**Formation enthalpy at 0 K**: -0.11 eV/atom

Cell: 5.123 5.123 8.837 Å, 73.15 73.15 60.00°
Positions (direct):
Ag1 0.754 0.754 0.738
Ag2 0.246 0.246 0.262
Sm1 0.119 0.119 0.644
Sm2 0.881 0.881 0.356
Sm3 0.630 0.630 0.111
Sm4 0.370 0.370 0.889
Os1 0.000 0.000 0.000